Computed, not measured: an optimized crystal structure of CaMg14W at the PBE level of DFT.

Output
- energy above the most stable polymorph in this dataset (eV/atom) = 0.005
- final energy (eV per atom) = -2.16
- density (g cm⁻³) = 2.573
- magnetic moment (μB/cell) = 1.12
- SG = Amm2 (38)
- ΔH_f (0 K) (kJ/mol of formula units) = 257

a b c (Å): 6.394 6.394 10.270
angles (deg): 90.00 90.00 119.87
Each line ends with the local moment (μB).
Positions (direct):
1 Ca 0.828 0.172 0.500  0.01
2 Mg 0.837 0.163 0.000  0.00
3 Mg 0.333 0.667 0.000  0.00
4 Mg 0.333 0.178 0.500  0.00
5 Mg 0.328 0.161 0.000  0.00
6 Mg 0.822 0.667 0.500  0.00
7 Mg 0.839 0.672 0.000  0.00
8 Mg 0.178 0.347 0.256  0.00
9 Mg 0.178 0.347 0.744  0.00
10 Mg 0.653 0.822 0.256  0.00
11 Mg 0.653 0.822 0.744  0.00
12 Mg 0.664 0.336 0.239  0.01
13 Mg 0.664 0.336 0.761  0.01
14 Mg 0.175 0.825 0.270  0.00
15 Mg 0.175 0.825 0.730  0.00
16 W 0.340 0.660 0.500  0.66